Here is an optimized crystal structure of Pm6UN8 from the Alexandria database. Energies are from PBE.

Cell lengths 6.5574, 6.5574, 6.5574 Å; angles 69.63, 69.63, 69.63 degrees
Element x y z (fractional)
Pm (0.0022, 0.7941, 0.4477)
Pm (0.2059, 0.5523, 0.9978)
Pm (0.4477, 0.0022, 0.7941)
Pm (0.5523, 0.9978, 0.2059)
Pm (0.7941, 0.4477, 0.0022)
Pm (0.9978, 0.2059, 0.5523)
U (0.5000, 0.5000, 0.5000)
N (0.1759, 0.1759, 0.1759)
N (0.1763, 0.4029, 0.6653)
N (0.3347, 0.8237, 0.5971)
N (0.4029, 0.6653, 0.1763)
N (0.5971, 0.3347, 0.8237)
N (0.6653, 0.1763, 0.4029)
N (0.8237, 0.5971, 0.3347)
N (0.8241, 0.8241, 0.8241)

Summary:
Uncorrected formation energy, eV/atom: -1.2017
Electronic total energy, eV per atom: -8.295

=====

Here is an optimized crystal structure of Pm2UN3 from the Alexandria database. Energies are from PBE.

Cell lengths 6.1229, 6.1229, 6.1229 Å; angles 146.56, 131.57, 60.13 degrees
Element x y z (fractional)
Pm (0.1667, 0.1667, 0.0000)
Pm (0.8333, 0.8333, 0.0000)
U (0.5000, 0.5000, 0.0000)
N (0.0000, 0.5000, 0.5000)
N (0.3613, 0.8613, 0.5000)
N (0.6387, 0.1387, 0.5000)

Summary:
Uncorrected formation energy, eV/atom: -1.4450
Electronic total energy, eV per atom: -9.073
Polymorph energy (0 for the lowest one), meV per atom: 0.0

=====

Here is an optimized crystal structure of Pm3U5N12 from the Alexandria database. Energies are from PBE.

Cell lengths 11.9110, 11.9110, 11.9110 Å; angles 109.47, 109.47, 109.47 degrees
Element x y z (fractional)
Pm (0.1250, 0.2500, 0.3750)
Pm (0.1250, 0.3750, 0.7500)
Pm (0.2500, 0.3750, 0.1250)
Pm (0.2500, 0.8750, 0.6250)
Pm (0.3750, 0.1250, 0.2500)
Pm (0.3750, 0.7500, 0.1250)
Pm (0.6250, 0.2500, 0.8750)
Pm (0.6250, 0.8750, 0.7500)
Pm (0.7500, 0.1250, 0.3750)
Pm (0.7500, 0.6250, 0.8750)
Pm (0.8750, 0.6250, 0.2500)
Pm (0.8750, 0.7500, 0.6250)
U (0.0000, 0.0000, 0.0000)
U (0.0000, 0.0000, 0.5000)
U (0.0000, 0.5000, 0.0000)
U (0.0000, 0.5000, 0.5000)
U (0.1250, 0.7500, 0.8750)
U (0.1250, 0.8750, 0.2500)
U (0.2500, 0.1250, 0.8750)
U (0.2500, 0.6250, 0.3750)
U (0.3750, 0.2500, 0.6250)
U (0.3750, 0.6250, 0.7500)
U (0.5000, 0.0000, 0.0000)
U (0.5000, 0.0000, 0.5000)
U (0.5000, 0.5000, 0.0000)
U (0.5000, 0.5000, 0.5000)
U (0.6250, 0.3750, 0.2500)
U (0.6250, 0.7500, 0.3750)
U (0.7500, 0.3750, 0.6250)
U (0.7500, 0.8750, 0.1250)
U (0.8750, 0.1250, 0.7500)
U (0.8750, 0.2500, 0.1250)
N (0.0271, 0.1988, 0.1294)
N (0.0271, 0.3283, 0.8977)
N (0.0694, 0.6988, 0.6717)
N (0.0694, 0.8706, 0.3977)
N (0.1023, 0.6294, 0.4306)
N (0.1023, 0.9729, 0.6717)
N (0.1294, 0.0271, 0.1988)
N (0.1294, 0.6023, 0.9306)
N (0.1717, 0.1988, 0.5694)
N (0.1717, 0.4729, 0.6023)
N (0.1988, 0.1294, 0.0271)
N (0.1988, 0.5694, 0.1717)
N (0.3012, 0.3283, 0.9306)
N (0.3012, 0.4729, 0.3706)
N (0.3283, 0.8977, 0.0271)
N (0.3283, 0.9306, 0.3012)
N (0.3706, 0.3012, 0.4729)
N (0.3706, 0.5694, 0.8977)
N (0.3977, 0.0694, 0.8706)
N (0.3977, 0.8283, 0.5271)
N (0.4306, 0.1023, 0.6294)
N (0.4306, 0.8283, 0.8012)
N (0.4729, 0.3706, 0.3012)
N (0.4729, 0.6023, 0.1717)
N (0.5271, 0.3977, 0.8283)
N (0.5271, 0.6294, 0.6988)
N (0.5694, 0.1717, 0.1988)
N (0.5694, 0.8977, 0.3706)
N (0.6023, 0.1717, 0.4729)
N (0.6023, 0.9306, 0.1294)
N (0.6294, 0.4306, 0.1023)
N (0.6294, 0.6988, 0.5271)
N (0.6717, 0.0694, 0.6988)
N (0.6717, 0.1023, 0.9729)
N (0.6988, 0.5271, 0.6294)
N (0.6988, 0.6717, 0.0694)
N (0.8012, 0.4306, 0.8283)
N (0.8012, 0.8706, 0.9729)
N (0.8283, 0.5271, 0.3977)
N (0.8283, 0.8012, 0.4306)
N (0.8706, 0.3977, 0.0694)
N (0.8706, 0.9729, 0.8012)
N (0.8977, 0.0271, 0.3283)
N (0.8977, 0.3706, 0.5694)
N (0.9306, 0.1294, 0.6023)
N (0.9306, 0.3012, 0.3283)
N (0.9729, 0.6717, 0.1023)
N (0.9729, 0.8012, 0.8706)

Summary:
Uncorrected formation energy, eV/atom: -1.2219
Electronic total energy, eV per atom: -9.752

=====

Here is an optimized crystal structure of Pm2YUN4 from the Alexandria database. Energies are from PBE.

Cell lengths 6.0399, 3.5295, 6.1203 Å; angles 90.00, 108.99, 90.00 degrees
Element x y z (fractional)
Pm (0.0000, 0.0000, 0.0000)
Pm (0.5000, 0.5000, 0.0000)
Y (0.0000, 0.5000, 0.5000)
U (0.5000, 0.0000, 0.5000)
N (0.2643, 0.0000, 0.7206)
N (0.2734, 0.5000, 0.2819)
N (0.7266, 0.5000, 0.7181)
N (0.7357, 0.0000, 0.2794)

Summary:
Uncorrected formation energy, eV/atom: -1.5234
Electronic total energy, eV per atom: -9.093

=====

Here is an optimized crystal structure of Pm2Y3UN6 from the Alexandria database. Energies are from PBE.

Cell lengths 6.0862, 6.0862, 6.0535 Å; angles 99.67, 99.67, 119.97 degrees
Element x y z (fractional)
Pm (0.1665, 0.8335, 0.0000)
Pm (0.8335, 0.1665, 0.0000)
Y (0.0000, 0.0000, 0.5000)
Y (0.3336, 0.6664, 0.5000)
Y (0.6664, 0.3336, 0.5000)
U (0.5000, 0.5000, 0.0000)
N (0.1115, 0.4178, 0.7542)
N (0.2757, 0.2757, 0.2410)
N (0.4178, 0.1115, 0.7542)
N (0.5822, 0.8885, 0.2458)
N (0.7243, 0.7243, 0.7590)
N (0.8885, 0.5822, 0.2458)

Summary:
Uncorrected formation energy, eV/atom: -1.5857
Electronic total energy, eV per atom: -9.097

=====

Here is an optimized crystal structure of Pm3Zr3UN8 from the Alexandria database. Energies are from PBE.

Cell lengths 6.9462, 6.9462, 6.9462 Å; angles 57.98, 57.98, 57.98 degrees
Element x y z (fractional)
Pm (0.0000, 0.5000, 0.5000)
Pm (0.5000, 0.0000, 0.5000)
Pm (0.5000, 0.5000, 0.0000)
Zr (0.0000, 0.0000, 0.5000)
Zr (0.0000, 0.5000, 0.0000)
Zr (0.5000, 0.0000, 0.0000)
U (0.5000, 0.5000, 0.5000)
N (0.2401, 0.2401, 0.2401)
N (0.2477, 0.7284, 0.7284)
N (0.2716, 0.2716, 0.7523)
N (0.2716, 0.7523, 0.2716)
N (0.7284, 0.2477, 0.7284)
N (0.7284, 0.7284, 0.2477)
N (0.7523, 0.2716, 0.2716)
N (0.7599, 0.7599, 0.7599)

Summary:
Uncorrected formation energy, eV/atom: -1.4744
Electronic total energy, eV per atom: -9.327

=====

Here is an optimized crystal structure of Pm2VN4 from the Alexandria database. Energies are from PBE.

Cell lengths 5.7769, 5.7116, 6.8414 Å; angles 90.00, 108.46, 90.00 degrees
Element x y z (fractional)
Pm (0.1887, 0.2500, 0.0350)
Pm (0.2696, 0.2500, 0.5615)
Pm (0.7304, 0.7500, 0.4385)
Pm (0.8113, 0.7500, 0.9650)
V (0.2558, 0.7500, 0.8013)
V (0.7442, 0.2500, 0.1987)
N (0.0439, 0.5093, 0.7448)
N (0.0439, 0.9907, 0.7448)
N (0.4363, 0.7500, 0.0718)
N (0.4640, 0.7500, 0.6520)
N (0.5360, 0.2500, 0.3480)
N (0.5637, 0.2500, 0.9282)
N (0.9561, 0.0093, 0.2552)
N (0.9561, 0.4907, 0.2552)

Summary:
Uncorrected formation energy, eV/atom: -0.9999
Electronic total energy, eV per atom: -8.417

=====

Here is an optimized crystal structure of PmVN from the Alexandria database. Energies are from PBE.

Cell lengths 2.9593, 5.3275, 5.3275 Å; angles 31.58, 90.00, 90.00 degrees
Element x y z (fractional)
Pm (0.0000, 0.0000, 0.0000)
V (0.5000, 0.7318, 0.7318)
N (0.0000, 0.2637, 0.2637)

Summary:
Uncorrected formation energy, eV/atom: -0.3954
Electronic total energy, eV per atom: -7.794

=====

Here is an optimized crystal structure of Pm2V2N5 from the Alexandria database. Energies are from PBE.

Cell lengths 8.5775, 8.5775, 8.5775 Å; angles 54.43, 141.39, 143.16 degrees
Element x y z (fractional)
Pm (0.0208, 0.1081, 0.1288)
Pm (0.0208, 0.3919, 0.4127)
Pm (0.9792, 0.6081, 0.5873)
Pm (0.9792, 0.8919, 0.8712)
V (0.3712, 0.6992, 0.1720)
V (0.5028, 0.0028, 0.5000)
V (0.5028, 0.5028, 0.0000)
V (0.5273, 0.1992, 0.8280)
N (0.2459, 0.8612, 0.8847)
N (0.4470, 0.1494, 0.5877)
N (0.4470, 0.3593, 0.7976)
N (0.4933, 0.2362, 0.2401)
N (0.4933, 0.7532, 0.7571)
N (0.5617, 0.6494, 0.2024)
N (0.5617, 0.8593, 0.4123)
N (0.9765, 0.3612, 0.1153)
N (0.9961, 0.2532, 0.7599)
N (0.9961, 0.7362, 0.2429)

Summary:
Uncorrected formation energy, eV/atom: -1.1884
Electronic total energy, eV per atom: -8.896

=====

Here is an optimized crystal structure of Pm3V2N6 from the Alexandria database. Energies are from PBE.

Cell lengths 10.0885, 10.0885, 10.0885 Å; angles 157.94, 157.94, 31.39 degrees
Element x y z (fractional)
Pm (0.0000, 0.0000, 0.0000)
Pm (0.1773, 0.1773, 0.0000)
Pm (0.8227, 0.8227, 0.0000)
V (0.3966, 0.3966, 0.0000)
V (0.6034, 0.6034, 0.0000)
N (0.0861, 0.5861, 0.5000)
N (0.3035, 0.3035, 0.0000)
N (0.4139, 0.9139, 0.5000)
N (0.5861, 0.0861, 0.5000)
N (0.6965, 0.6965, 0.0000)
N (0.9139, 0.4139, 0.5000)

Summary:
Uncorrected formation energy, eV/atom: -1.2966
Electronic total energy, eV per atom: -8.791

=====

Here is an optimized crystal structure of PmVN3 from the Alexandria database. Energies are from PBE.

Cell lengths 3.8684, 3.8684, 3.8684 Å; angles 90.00, 90.00, 90.00 degrees
Element x y z (fractional)
Pm (0.0000, 0.0000, 0.0000)
V (0.5000, 0.5000, 0.5000)
N (0.0000, 0.5000, 0.5000)
N (0.5000, 0.0000, 0.5000)
N (0.5000, 0.5000, 0.0000)

Summary:
Uncorrected formation energy, eV/atom: -0.7860
Electronic total energy, eV per atom: -8.555

=====

Here is an optimized crystal structure of PmVN3 from the Alexandria database. Energies are from PBE.

Cell lengths 4.0120, 4.0698, 8.0065 Å; angles 90.00, 104.36, 90.00 degrees
Element x y z (fractional)
Pm (0.1117, 0.2500, 0.3150)
Pm (0.8883, 0.7500, 0.6850)
V (0.4992, 0.2500, 0.8675)
V (0.5008, 0.7500, 0.1325)
N (0.0739, 0.7500, 0.1502)
N (0.2889, 0.2500, 0.6262)
N (0.4724, 0.7500, 0.8789)
N (0.5276, 0.2500, 0.1211)
N (0.7111, 0.7500, 0.3738)
N (0.9261, 0.2500, 0.8498)

Summary:
Uncorrected formation energy, eV/atom: -0.7255
Electronic total energy, eV per atom: -8.495